1.
Below is a geometry-optimized La3Sm5Tm3 structure, with properties calculated at the PBE-GGA level.

Cell lengths 11.3821, 11.3821, 3.4519 Å; angles 90.00, 90.00, 120.00 degrees
Space group P-62m (No. 189)
Asymmetric unit:
1 La 0.0000 0.4018 0.0000 x3
2 Sm 0.0000 0.6647 0.5000 x3
3 Sm 0.3333 0.6667 0.5000 x2
4 Tm 0.0000 0.1576 0.5000 x3

Output
E: -48.07 eV/cell
Energy of formation from the pure elements: 338 meV/atom
Spin magnetization: 0.00 Bohr magnetons per cell
Theoretical density: 7.183 g/cm³

2.
Below is a geometry-optimized Dy2P4O13 structure, with properties calculated at the PBE-GGA level.

Cell lengths 7.113, 17.539, 8.657 Å; angles 90.00, 90.00, 90.00 degrees
Space group C222_1 (No. 20)
Asymmetric unit:
1 Dy 0.250 0.146 0.147 x8
2 P 0.214 0.436 0.274 x8
3 P 0.241 0.160 0.500 x8
4 O 0.000 0.413 0.250 x4
5 O 0.079 0.157 0.382 x8
6 O 0.079 0.351 0.902 x8
7 O 0.204 0.085 0.607 x8
8 O 0.212 0.115 0.898 x8
9 O 0.237 0.479 0.705 x8
10 O 0.244 0.229 0.604 x8

Output
E: -585.94 eV/cell
Raw formation energy: -51.2 eV/f.u.
ΔE to the lowest computed polymorph: 0.0000 eV per atom
Spin magnetization: 0.00 Bohr magnetons per cell
Theoretical density: 4.040 g/cm³

3.
Below is a geometry-optimized YPt2 structure, with properties calculated at the PBE-GGA level.

Cell lengths 9.380, 4.339, 5.807 Å; angles 90.00, 105.86, 90.00 degrees
Space group C2/m (No. 12)
Asymmetric unit:
1 Y 0.144 0.000 0.301 x4
2 Pt 0.000 0.500 0.000 x2
3 Pt 0.000 0.500 0.500 x2
4 Pt 0.178 0.000 0.820 x4

Output
E: -86.54 eV/cell
Energy of formation from the pure elements: -1030 meV/atom
Spin magnetization: 0.00 Bohr magnetons per cell
Theoretical density: 13.995 g/cm³

The highest theoretical density belongs to which entry?
YPt2

Repeat the third record exactly.
Below is a geometry-optimized YPt2 structure, with properties calculated at the PBE-GGA level.

Cell lengths 9.380, 4.339, 5.807 Å; angles 90.00, 105.86, 90.00 degrees
Space group C2/m (No. 12)
Asymmetric unit:
1 Y 0.144 0.000 0.301 x4
2 Pt 0.000 0.500 0.000 x2
3 Pt 0.000 0.500 0.500 x2
4 Pt 0.178 0.000 0.820 x4

Output
E: -86.54 eV/cell
Energy of formation from the pure elements: -1030 meV/atom
Spin magnetization: 0.00 Bohr magnetons per cell
Theoretical density: 13.995 g/cm³